No. 1
The following is a GGA-PBE calculation of a relaxed structure of YErSnCl2, from OQMD via LeMat-Bulk.

Lattice parameters (Å, degrees): 4.164 4.164 9.826 90.00 90.00 120.00
Positions (direct):
1 Y 0.667 0.333 0.683
2 Er 0.000 0.000 0.317
3 Sn 0.333 0.667 0.498
4 Cl 0.667 0.333 0.167
5 Cl 0.000 0.000 0.836

Results
**E_tot**: -26.06 eV for the cell shown
**SG**: No. 156

No. 2
The following is a GGA-PBE calculation of a relaxed structure of K5As2Pt, from OQMD via LeMat-Bulk.

Lattice parameters (Å, degrees): 9.628 9.628 9.628 34.65 34.65 34.65
Site moments in Bohr magnetons follow the coordinates.
Positions (direct):
1 K 0.780 0.780 0.780  0.01
2 K 0.637 0.637 0.637  0.00
3 K 0.220 0.220 0.220  0.01
4 As 0.910 0.910 0.910  0.12
5 As 0.090 0.090 0.090  0.12
6 Pt 0.000 0.000 0.000  0.30
7 K 0.363 0.363 0.363  0.00
8 K 0.500 0.500 0.500  0.01

Results
**E_tot**: -23.99 eV for the cell shown
**SG**: No. 166

No. 3
The following is a GGA-PBE calculation of a relaxed structure of Ho8Te, from OQMD via LeMat-Bulk.

Lattice parameters (Å, degrees): 9.166 9.166 3.756 90.00 90.00 120.00
Positions (direct):
1 Ho 0.333 0.667 0.500
2 Ho 0.616 0.000 0.000
3 Ho 0.726 0.726 0.500
4 Ho 0.274 0.000 0.500
5 Ho 0.000 0.274 0.500
6 Te 0.000 0.000 0.000
7 Ho 0.000 0.616 0.000
8 Ho 0.384 0.384 0.000
9 Ho 0.667 0.333 0.500

Results
**E_tot**: -42.27 eV for the cell shown
**SG**: No. 189

No. 4
The following is a GGA-PBE calculation of a relaxed structure of SrMgCoBi, from OQMD via LeMat-Bulk.

Lattice parameters (Å, degrees): 5.272 5.272 5.272 60.00 60.00 60.00
Positions (direct):
1 Bi 0.500 0.500 0.500
2 Mg 0.750 0.750 0.750
3 Co 0.000 0.000 0.000
4 Sr 0.250 0.250 0.250

Results
**E_tot**: -13.73 eV for the cell shown
**SG**: No. 216

No. 5
The following is a GGA-PBE calculation of a relaxed structure of Y2Nb4Bi3C3, from OQMD via LeMat-Bulk.

Lattice parameters (Å, degrees): 6.023 6.023 14.663 101.92 101.92 60.49
Positions (direct):
1 C 0.326 0.849 0.500
2 Bi 0.417 0.209 0.748
3 Y 0.468 0.624 0.904
4 Nb 0.199 0.018 0.071
5 C 0.674 0.151 0.500
6 C 0.000 0.500 0.500
7 Bi 0.209 0.417 0.248
8 Bi 0.791 0.583 0.752
9 Bi 0.583 0.791 0.252
10 Nb 0.151 0.307 0.928
11 Nb 0.849 0.693 0.072
12 C 0.849 0.326 0.000
13 Nb 0.693 0.849 0.572
14 Y 0.376 0.532 0.596
15 Y 0.532 0.376 0.096
16 Bi 0.951 0.049 0.250
17 Nb 0.018 0.199 0.571
18 Nb 0.801 0.982 0.929
19 C 0.151 0.674 0.000
20 C 0.500 0.000 0.000
21 Nb 0.982 0.801 0.429
22 Bi 0.049 0.951 0.750
23 Y 0.624 0.468 0.404
24 Nb 0.307 0.151 0.428

Results
**E_tot**: -194.68 eV for the cell shown
**SG**: No. 15

No. 6
The following is a GGA-PBE calculation of a relaxed structure of TbCoSn, from OQMD via LeMat-Bulk.

Lattice parameters (Å, degrees): 5.023 5.023 6.012 90.00 90.00 120.00
Site moments in Bohr magnetons follow the coordinates.
Positions (direct):
1 Co 0.000 0.000 0.000  1.88
2 Tb 0.667 0.333 0.250  0.04
3 Sn 0.667 0.333 0.750  0.07
4 Sn 0.333 0.667 0.250  0.07
5 Tb 0.333 0.667 0.750  0.04
6 Co 0.000 0.000 0.500  1.88

Results
**E_tot**: -31.42 eV for the cell shown
**SG**: No. 194

No. 7
The following is a GGA-PBE calculation of a relaxed structure of Y4GaAuC2, from OQMD via LeMat-Bulk.

Lattice parameters (Å, degrees): 3.644 3.644 14.680 90.00 90.00 120.00
Positions (direct):
1 Ga 0.667 0.333 0.500
2 Y 0.000 0.000 0.340
3 C 0.333 0.667 0.758
4 C 0.333 0.667 0.242
5 Y 0.000 0.000 0.660
6 Y 0.667 0.333 0.845
7 Au 0.000 0.000 0.000
8 Y 0.667 0.333 0.155

Results
**E_tot**: -54.18 eV for the cell shown
**SG**: No. 187

No. 8
The following is a GGA-PBE calculation of a relaxed structure of NaGaBAu, from OQMD via LeMat-Bulk.

Lattice parameters (Å, degrees): 4.500 4.500 4.500 60.00 60.00 60.00
Positions (direct):
1 Ga 0.000 0.000 0.000
2 Au 0.750 0.750 0.750
3 B 0.250 0.250 0.250
4 Na 0.500 0.500 0.500

Results
**E_tot**: -11.77 eV for the cell shown
**SG**: No. 216

No. 9
The following is a GGA-PBE calculation of a relaxed structure of GdZn2Au2, from OQMD via LeMat-Bulk.

Lattice parameters (Å, degrees): 6.159 6.159 4.297 69.59 69.58 40.84
Positions (direct):
1 Zn 0.889 0.889 0.111
2 Au 0.750 0.750 0.750
3 Zn 0.111 0.111 0.889
4 Gd 0.500 0.500 0.500
5 Au 0.250 0.250 0.250

Results
**E_tot**: -16.01 eV for the cell shown
**E_form**: -0.458 eV per atom
**SG**: No. 139

No. 10
The following is a GGA-PBE calculation of a relaxed structure of Pr3Pb7, from OQMD via LeMat-Bulk.

Lattice parameters (Å, degrees): 13.389 13.389 4.817 90.00 90.00 159.42
Positions (direct):
1 Pr 0.187 0.813 0.000
2 Pb 0.404 0.596 0.000
3 Pr 0.000 0.000 0.000
4 Pb 0.500 0.500 0.500
5 Pb 0.097 0.903 0.500
6 Pb 0.293 0.707 0.500
7 Pb 0.707 0.293 0.500
8 Pb 0.903 0.097 0.500
9 Pr 0.813 0.187 0.000
10 Pb 0.596 0.404 0.000

Results
**E_tot**: -44.75 eV for the cell shown
**SG**: No. 65

No. 11
The following is a GGA-PBE calculation of a relaxed structure of SmLuSi2Os, from OQMD via LeMat-Bulk.

Lattice parameters (Å, degrees): 5.689 5.689 9.997 116.08 116.08 43.70
Positions (direct):
1 Sm 0.810 0.810 0.389
2 Si 0.359 0.359 0.941
3 Os 0.268 0.268 0.125
4 Sm 0.190 0.190 0.611
5 Si 0.498 0.498 0.629
6 Lu 0.998 0.998 0.826
7 Os 0.732 0.732 0.875
8 Lu 0.002 0.002 0.174
9 Si 0.641 0.641 0.059
10 Si 0.502 0.502 0.371

Results
**E_tot**: -70.43 eV for the cell shown
**SG**: No. 12

No. 12
The following is a GGA-PBE calculation of a relaxed structure of TlAg3WSe4, from OQMD via LeMat-Bulk.

Lattice parameters (Å, degrees): 6.413 6.413 6.413 90.00 90.00 90.00
Site moments in Bohr magnetons follow the coordinates.
Positions (direct):
1 Se 0.722 0.278 0.722  0.02
2 Se 0.722 0.722 0.278  0.03
3 Tl 0.000 0.000 0.000  0.01
4 Ag 0.500 0.000 0.500  0.04
5 Ag 0.500 0.500 0.000  0.06
6 Se 0.278 0.722 0.722  0.03
7 W 0.500 0.500 0.500  1.30
8 Se 0.278 0.278 0.278  0.04
9 Ag 0.000 0.500 0.500  0.01

Results
**E_tot**: -38.24 eV for the cell shown
**SG**: No. 215